Record 1
First-principles (PBE with a Hubbard U) data for LiPrMn4O12 after structural relaxation, as listed in Alexandria.

Lattice parameters (Å, degrees): 5.321 5.321 7.609 90.00 90.00 90.00
Element x y z (fractional)
Li1 0.000 0.000 0.000
Pr1 0.500 0.500 0.500
Mn1 0.000 0.500 0.242
Mn2 0.000 0.500 0.758
Mn3 0.500 0.000 0.242
Mn4 0.500 0.000 0.758
O1 0.000 0.500 0.000
O2 0.000 0.500 0.500
O3 0.257 0.257 0.261
O4 0.257 0.257 0.739
O5 0.257 0.743 0.261
O6 0.257 0.743 0.739
O7 0.500 0.000 0.000
O8 0.500 0.000 0.500
O9 0.743 0.257 0.261
O10 0.743 0.257 0.739
O11 0.743 0.743 0.261
O12 0.743 0.743 0.739

E   -0.23917 hartree per atom
N(E_F)   10.107 states/eV/f.u.

Record 2
First-principles (PBE with a Hubbard U) data for Li2PrMnO4 after structural relaxation, as listed in Alexandria.

Lattice parameters (Å, degrees): 6.277 6.277 9.558 90.00 90.00 148.48
Element x y z (fractional)
Li1 0.093 0.907 0.538
Li2 0.093 0.907 0.962
Li3 0.907 0.093 0.038
Li4 0.907 0.093 0.462
Pr1 0.431 0.569 0.750
Pr2 0.569 0.431 0.250
Mn1 0.295 0.705 0.250
Mn2 0.705 0.295 0.750
O1 0.101 0.899 0.750
O2 0.180 0.820 0.123
O3 0.180 0.820 0.377
O4 0.500 0.500 0.000
O5 0.500 0.500 0.500
O6 0.820 0.180 0.623
O7 0.820 0.180 0.877
O8 0.899 0.101 0.250

E   -0.24001 hartree per atom

Record 3
First-principles (PBE with a Hubbard U) data for Li2MnPtO after structural relaxation, as listed in Alexandria.

Lattice parameters (Å, degrees): 3.915 3.915 4.142 90.00 90.00 90.00
Element x y z (fractional)
Li1 0.000 0.500 0.000
Li2 0.500 0.000 0.000
Mn1 0.000 0.000 0.500
Pt1 0.500 0.500 0.500
O1 0.000 0.000 0.000

E   -0.20078 hartree per atom
N(E_F)   0.649 states/eV/f.u.

Record 4
First-principles (PBE with a Hubbard U) data for LiPu2MnO8 after structural relaxation, as listed in Alexandria.

Lattice parameters (Å, degrees): 4.719 4.719 6.878 90.00 90.00 91.16
Element x y z (fractional)
Li1 0.000 0.000 0.000
Pu1 0.500 0.500 0.248
Pu2 0.500 0.500 0.752
Mn1 0.000 0.000 0.500
O1 0.212 0.212 0.254
O2 0.212 0.212 0.746
O3 0.306 0.694 0.500
O4 0.313 0.687 0.000
O5 0.687 0.313 0.000
O6 0.694 0.306 0.500
O7 0.788 0.788 0.254
O8 0.788 0.788 0.746

E   -0.32151 hartree per atom
N(E_F)   3.886 states/eV/f.u.

Record 5
First-principles (PBE with a Hubbard U) data for Li2PuMn2O6 after structural relaxation, as listed in Alexandria.

Lattice parameters (Å, degrees): 5.373 5.373 5.731 105.78 105.78 111.60
Element x y z (fractional)
Li1 0.153 0.847 0.000
Li2 0.847 0.153 0.000
Pu1 0.500 0.500 0.000
Mn1 0.319 0.681 0.500
Mn2 0.681 0.319 0.500
O1 0.122 0.473 0.741
O2 0.283 0.283 0.202
O3 0.473 0.122 0.741
O4 0.527 0.878 0.259
O5 0.717 0.717 0.798
O6 0.878 0.527 0.259

E   -0.28769 hartree per atom
N(E_F)   7.103 states/eV/f.u.

Record 6
First-principles (PBE with a Hubbard U) data for LiPuMnO6 after structural relaxation, as listed in Alexandria.

Lattice parameters (Å, degrees): 5.202 5.202 9.388 90.00 90.00 120.00
Element x y z (fractional)
Li1 0.000 0.000 0.000
Li2 0.000 0.000 0.500
Pu1 0.333 0.667 0.250
Pu2 0.667 0.333 0.750
Mn1 0.333 0.667 0.750
Mn2 0.667 0.333 0.250
O1 0.012 0.363 0.639
O2 0.012 0.648 0.861
O3 0.352 0.363 0.861
O4 0.352 0.988 0.639
O5 0.363 0.012 0.139
O6 0.363 0.352 0.361
O7 0.637 0.648 0.639
O8 0.637 0.988 0.861
O9 0.648 0.012 0.361
O10 0.648 0.637 0.139
O11 0.988 0.352 0.139
O12 0.988 0.637 0.361

E   -0.28720 hartree per atom